# 1
SrSi2Se | PBE | relaxed

Results
total energy = -17.4 eV/cell
SG = P2/m
D(E_F) = 0.315 states/eV per atom

Cell lengths 5.292, 4.797, 3.966 Å; angles 87.38, 90.00, 90.00 degrees
Atoms (fractional coordinates):
Se: 0.500 0.750 0.750
Si: 0.000 0.890 0.984
Si: 0.000 0.610 0.516
Sr: 0.500 0.250 0.250

---

# 2
Tb2SmO | PBE | relaxed

Results
total energy = -22.2 eV/cell
SG = P4/mmm
D(E_F) = 1.259 states/eV per atom
E above lowest polymorph = 529 meV/atom

Cell lengths 3.199, 3.199, 8.872 Å; angles 90.00, 90.00, 90.00 degrees
Atoms (fractional coordinates):
Tb: 0.000 0.000 0.827
Tb: 0.000 0.000 0.173
O: 0.500 0.500 0.000
Sm: 0.500 0.500 0.500

---

# 3
PmTmInBi | PBE | relaxed

Results
total energy = -17.6 eV/cell
SG = F-43m
energy of formation from the pure elements = -0.4413 eV/atom
D(E_F) = 0.889 states/eV per atom

Cell lengths 5.458, 5.458, 5.458 Å; angles 60.00, 60.00, 60.00 degrees
Atoms (fractional coordinates):
Tm: 0.500 0.500 0.500
In: 0.250 0.250 0.250
Bi: 0.750 0.750 0.750
Pm: 0.000 0.000 0.000

---

# 4
TbGdHoSn | PBE | relaxed

Results
total energy = -28.3 eV/cell
SG = F-43m
energy of formation from the pure elements = -0.2591 eV/atom
D(E_F) = 0.941 states/eV per atom

Cell lengths 5.419, 5.419, 5.419 Å; angles 60.00, 60.00, 60.00 degrees
Atoms (fractional coordinates):
Gd: 0.500 0.500 0.500
Tb: 0.000 0.000 0.000
Ho: 0.750 0.750 0.750
Sn: 0.250 0.250 0.250

---

# 5
TaPCl2 | PBE | relaxed

Results
total energy = -17.8 eV/cell
SG = P4/mmm
D(E_F) = 0.657 states/eV per atom
E above lowest polymorph = 1437 meV/atom

Cell lengths 4.647, 4.647, 3.109 Å; angles 90.00, 90.00, 90.00 degrees
Atoms (fractional coordinates):
Cl: 0.000 0.000 0.000
Cl: 0.500 0.500 0.000
P: 0.500 0.000 0.500
Ta: 0.000 0.500 0.500

---

# 6
ZrMnTcRh | PBE | relaxed

Results
total energy = -36.5 eV/cell
SG = F-43m
energy of formation from the pure elements = -0.2602 eV/atom
D(E_F) = 0.993 states/eV per atom

Cell lengths 4.479, 4.479, 4.479 Å; angles 60.00, 60.00, 60.00 degrees
Atoms (fractional coordinates):
Mn: 0.750 0.750 0.750
Rh: 0.000 0.000 0.000
Tc: 0.500 0.500 0.500
Zr: 0.250 0.250 0.250

---

# 7
Hg4Bi2H | PBE | relaxed

Results
total energy = -11.3 eV/cell
SG = P-1
D(E_F) = 0.265 states/eV per atom

Cell lengths 3.347, 3.265, 38.600 Å; angles 132.81, 127.34, 87.68 degrees
Atoms (fractional coordinates):
Hg: 0.798 0.391 0.106
Hg: 0.903 0.188 0.764
Hg: 0.202 0.609 0.894
Hg: 0.097 0.812 0.236
Bi: 0.384 0.301 0.408
Bi: 0.616 0.699 0.592
H: 0.000 0.500 0.000

---

# 8
SmHoGe2Pd2 | PBE | relaxed

Results
total energy = -34.5 eV/cell
SG = P-3m1
energy of formation from the pure elements = -0.9271 eV/atom
D(E_F) = 0.691 states/eV per atom

Cell lengths 4.445, 4.445, 7.143 Å; angles 90.00, 90.00, 120.00 degrees
Atoms (fractional coordinates):
Sm: 0.000 0.000 0.000
Ho: 0.000 0.000 0.500
Ge: 0.333 0.667 0.261
Ge: 0.667 0.333 0.739
Pd: 0.333 0.667 0.718
Pd: 0.667 0.333 0.282

---

# 9
NaAgPd2 | PBE | relaxed

Results
total energy = -14.5 eV/cell
SG = P4/mmm
energy of formation from the pure elements = 0.0253 eV/atom
D(E_F) = 0.388 states/eV per atom
E above lowest polymorph = 70 meV/atom

Cell lengths 3.316, 3.316, 6.400 Å; angles 90.00, 90.00, 90.00 degrees
Atoms (fractional coordinates):
Na: 0.500 0.500 0.500
Pd: 0.000 0.000 0.765
Pd: 0.000 0.000 0.235
Ag: 0.500 0.500 0.000

---

# 10
EuHo2Sb | PBE | relaxed

Results
total energy = -25.3 eV/cell
SG = P4/mmm
D(E_F) = 1.141 states/eV per atom
E above lowest polymorph = 0 meV/atom

Cell lengths 4.760, 4.880, 4.880 Å; angles 90.00, 90.00, 90.00 degrees
Atoms (fractional coordinates):
Eu: 0.500 0.000 0.000
Sb: 0.500 0.500 0.500
Ho: 0.000 0.000 0.500
Ho: 0.000 0.500 0.000

---

# 11
Ba2LaIn | PBE | relaxed

Results
total energy = -11.4 eV/cell
SG = R-3m
energy of formation from the pure elements = 0.0236 eV/atom
D(E_F) = 1.213 states/eV per atom

Cell lengths 12.699, 12.699, 12.699 Å; angles 18.28, 18.28, 18.28 degrees
Atoms (fractional coordinates):
Ba: 0.991 0.991 0.991
Ba: 0.509 0.509 0.509
In: 0.250 0.250 0.250
La: 0.750 0.750 0.750

---

# 12
Tb2BiPt | PBE | relaxed

Results
total energy = -22.8 eV/cell
SG = R-3m
energy of formation from the pure elements = -0.9058 eV/atom
D(E_F) = 0.601 states/eV per atom

Cell lengths 4.318, 4.318, 7.411 Å; angles 73.06, 73.06, 60.00 degrees
Atoms (fractional coordinates):
Tb: 0.262 0.262 0.215
Tb: 0.738 0.738 0.785
Bi: 0.500 0.500 0.500
Pt: 0.000 0.000 0.000

---

# 13
LaYRe2 | PBE | relaxed

Results
total energy = -33.8 eV/cell
SG = Cmmm
energy of formation from the pure elements = 0.6205 eV/atom
D(E_F) = 0.619 states/eV per atom
E above lowest polymorph = 524 meV/atom

Cell lengths 3.026, 3.026, 9.566 Å; angles 90.00, 90.00, 111.93 degrees
Atoms (fractional coordinates):
La: 0.500 0.500 0.750
Re: 0.000 0.000 0.005
Re: 0.000 0.000 0.495
Y: 0.500 0.500 0.250

---

# 14
Pa4TcGe5 | PBE | relaxed

Results
total energy = -151.1 eV/cell
SG = Pmmn
energy of formation from the pure elements = -0.4123 eV/atom
D(E_F) = 0.907 states/eV per atom

Cell lengths 4.203, 9.839, 10.466 Å; angles 90.00, 90.00, 90.00 degrees
Atoms (fractional coordinates):
Pa: 0.751 0.000 0.693
Pa: 0.751 0.793 0.000
Pa: 0.751 0.207 0.000
Pa: 0.751 0.000 0.307
Pa: 0.249 0.500 0.193
Pa: 0.249 0.707 0.500
Pa: 0.249 0.293 0.500
Pa: 0.249 0.500 0.807
Tc: 0.251 0.000 0.000
Tc: 0.749 0.500 0.500
Ge: 0.251 0.822 0.804
Ge: 0.251 0.178 0.804
Ge: 0.749 0.500 0.000
Ge: 0.251 0.822 0.196
Ge: 0.251 0.178 0.196
Ge: 0.749 0.678 0.304
Ge: 0.749 0.322 0.304
Ge: 0.251 0.000 0.500
Ge: 0.749 0.322 0.696
Ge: 0.749 0.678 0.696

---

# 15
CrCuRu2 | PBE | relaxed

Results
total energy = -31.3 eV/cell
SG = R3m
energy of formation from the pure elements = 0.2545 eV/atom
D(E_F) = 1.107 states/eV per atom

Cell lengths 8.737, 8.737, 8.737 Å; angles 17.54, 17.54, 17.54 degrees
Atoms (fractional coordinates):
Cr: 0.501 0.501 0.501
Cu: 0.752 0.752 0.752
Ru: 0.000 0.000 0.000
Ru: 0.247 0.247 0.247

---

# 16
SrYPt | PBE | relaxed

Results
total energy = -16.2 eV/cell
SG = P3m1
energy of formation from the pure elements = -0.6768 eV/atom
D(E_F) = 1.101 states/eV per atom
E above lowest polymorph = 54 meV/atom

Cell lengths 4.229, 4.229, 6.756 Å; angles 90.00, 90.00, 120.00 degrees
Atoms (fractional coordinates):
Pt: 0.000 0.000 0.973
Sr: 0.667 0.333 0.248
Y: 0.333 0.667 0.779

---

# 17
YMg2 | PBE | relaxed

Results
total energy = -39.2 eV/cell
SG = C2/m
energy of formation from the pure elements = -0.0523 eV/atom
D(E_F) = 0.928 states/eV per atom

Cell lengths 14.308, 14.310, 14.310 Å; angles 160.81, 160.81, 27.27 degrees
Atoms (fractional coordinates):
Y: 0.919 0.919 0.000
Y: 0.082 0.081 0.001
Y: 0.168 0.669 0.499
Y: 0.331 0.831 0.500
Mg: 0.751 0.751 0.000
Mg: 0.248 0.248 0.000
Mg: 0.002 0.502 0.500
Mg: 0.499 0.999 0.500
Mg: 0.583 0.582 0.001
Mg: 0.418 0.418 0.000
Mg: 0.832 0.332 0.500
Mg: 0.667 0.168 0.499

---

# 18
TePbW2 | PBE | relaxed

Results
total energy = -56.2 eV/cell
SG = I-42d
D(E_F) = 0.589 states/eV per atom
E above lowest polymorph = 731 meV/atom

Cell lengths 4.401, 4.401, 10.131 Å; angles 77.45, 77.45, 90.00 degrees
Atoms (fractional coordinates):
Pb: 0.000 0.000 0.000
Pb: 0.750 0.250 0.500
Te: 0.500 0.500 0.000
Te: 0.250 0.750 0.500
W: 0.541 0.125 0.250
W: 0.209 0.625 0.250
W: 0.375 0.459 0.750
W: 0.875 0.791 0.750